! Ca3Co3N5 | Alexandria via LeMat-Bulk | PBEsol | optimized geometry; values from VASP
! * V: 268 Å³/cell
! * ΔE_f (raw): -0.561 eV per atom
&SYSTEM
  ibrav = 0, nat = 22, ntyp = 3
/
ATOMIC_SPECIES
Ca 40.08 Ca.upf
Co 58.93 Co.upf
N 14.01 N.upf
CELL_PARAMETERS angstrom
5.454 0.000 0.000
-0.580 6.639 0.000
-2.064 -2.839 7.390
ATOMIC_POSITIONS crystal
Ca 0.158 0.369 0.372
Ca 0.159 0.168 0.701
Ca 0.315 0.911 0.111
Ca 0.685 0.089 0.889
Ca 0.841 0.832 0.299
Ca 0.842 0.631 0.628
Co 0.185 0.448 0.063
Co 0.398 0.618 0.789
Co 0.413 0.821 0.474
Co 0.587 0.179 0.526
Co 0.602 0.382 0.211
Co 0.815 0.552 0.937
N 0.128 0.552 0.876
N 0.248 0.034 0.405
N 0.276 0.732 0.619
N 0.323 0.199 0.013
N 0.433 0.613 0.276
N 0.567 0.387 0.724
N 0.677 0.801 0.987
N 0.724 0.268 0.381
N 0.752 0.966 0.595
N 0.872 0.448 0.124